A geometry-optimized K3BiI structure. Source: Alexandria via LeMat-Bulk, functional PBEsol.

Properties
Raw formation energy, meV/atom: -458
Space-group type: No. 221
VASP energy, eV per cell: -11.74

Lattice parameters (Å, degrees): 6.635 6.635 6.635 90.00 90.00 90.00
Atoms (fractional coordinates):
K  0.000  0.000  0.500
K  0.000  0.500  0.000
K  0.500  0.000  0.000
Bi  0.000  0.000  0.000
I  0.500  0.500  0.500